PBE Na3GaBr6, relaxed; uncorrected formation energy = -1.236 eV/atom; mass density = 2.851 g/cm3; relative energy among the computed polymorphs = 0 meV/atom; volume = 36.002 A^3/atom; E = -58.77 eV for the cell shown; space group = Cmc2_1 (36); magnetization = 0.000 μB per atom
1.0
-3.880 -6.589 -0.481
5.922 -2.953 -7.308
4.390 -3.185 8.232
Na Ga Br
6 2 12
Direct
0.406 0.866 0.657 Na
0.906 0.657 0.866 Na
0.333 0.446 0.554 Na
0.833 0.554 0.446 Na
0.906 0.134 0.343 Na
0.406 0.343 0.134 Na
0.115 0.199 0.801 Ga
0.615 0.801 0.199 Ga
0.105 0.696 0.637 Br
0.605 0.637 0.696 Br
0.215 0.436 0.884 Br
0.715 0.884 0.436 Br
0.275 0.069 0.931 Br
0.813 0.186 0.814 Br
0.313 0.814 0.186 Br
0.775 0.931 0.069 Br
0.215 0.116 0.564 Br
0.715 0.564 0.116 Br
0.105 0.363 0.304 Br
0.605 0.304 0.363 Br